1.
Computed, not measured: crystalline Li2ScRu at its relaxed geometry at the PBE level of DFT.

## Properties
**Density of states at the Fermi level**: 3.0 states/eV per cell
**Energy above the most stable polymorph in this dataset**: 73 meV/atom
**Calculated formation energy**: 0.01 eV per atom
**Size of the total moment**: 0.3 μB/f.u.
**SG**: P2/m, No. 10

Cell: 5.0227 3.0486 4.3838 Å, 85.24 90.00 90.00°
Last column: nearest neighbours and their distance in Å.
Positions (direct):
Sc 0.5000 0.7500 0.7500  4 Ru 2.56-2.77
Li 0.0000 0.0272 0.0317  3 Li 2.44-2.72
Li 0.0000 0.4728 0.4683  3 Li 2.44-2.72
Ru 0.5000 0.2500 0.2500  4 Sc 2.56-2.77, 4 Li 2.79


2.
Computed, not measured: crystalline Li2ScRu at its relaxed geometry at the PBE level of DFT.

## Properties
**Density of states at the Fermi level**: 2.9 states/eV per cell
**Energy above the most stable polymorph in this dataset**: 209 meV/atom
**Calculated formation energy**: 0.14 eV per atom
**Size of the total moment**: 0.0 μB/f.u.
**SG**: Pmmm, No. 47

Cell: 2.7123 4.5585 5.1881 Å, 90.00 90.00 90.00°
Last column: nearest neighbours and their distance in Å.
Positions (direct):
Sc 0.5000 0.5000 0.7500  2 Ru 2.59, 2 Sc 2.71
Ru 0.5000 0.5000 0.2500  2 Sc 2.59, 2 Ru 2.71, 8 Li 2.88
Li 0.0000 0.0000 0.0338  1 Li 2.24
Li 0.0000 0.0000 0.4662  1 Li 2.24


3.
Computed, not measured: crystalline Li2ScRu at its relaxed geometry at the PBE level of DFT.

## Properties
**Density of states at the Fermi level**: 2.7 states/eV per cell
**Energy above the most stable polymorph in this dataset**: 231 meV/atom
**Calculated formation energy**: 0.16 eV per atom
**Size of the total moment**: 0.0 μB/f.u.
**SG**: P4/mmm, No. 123

Cell: 3.4852 3.4852 5.1358 Å, 90.00 90.00 90.00°
Last column: nearest neighbours and their distance in Å.
Positions (direct):
Li 0.0000 0.0000 0.4570  1 Li 2.13
Li 0.0000 0.0000 0.0430  1 Li 2.13
Ru 0.5000 0.5000 0.2500  2 Sc 2.57, 8 Li 2.68
Sc 0.5000 0.5000 0.7500  2 Ru 2.57


Among the records above, which one has the highest calculated formation energy?
number 3


Among the records above, which one has the highest energy above the most stable polymorph in this dataset?
number 3


What did the second record say?
Computed, not measured: crystalline Li2ScRu at its relaxed geometry at the PBE level of DFT.

## Properties
**Density of states at the Fermi level**: 2.9 states/eV per cell
**Energy above the most stable polymorph in this dataset**: 209 meV/atom
**Calculated formation energy**: 0.14 eV per atom
**Size of the total moment**: 0.0 μB/f.u.
**SG**: Pmmm, No. 47

Cell: 2.7123 4.5585 5.1881 Å, 90.00 90.00 90.00°
Last column: nearest neighbours and their distance in Å.
Positions (direct):
Sc 0.5000 0.5000 0.7500  2 Ru 2.59, 2 Sc 2.71
Ru 0.5000 0.5000 0.2500  2 Sc 2.59, 2 Ru 2.71, 8 Li 2.88
Li 0.0000 0.0000 0.0338  1 Li 2.24
Li 0.0000 0.0000 0.4662  1 Li 2.24


The highest density of states at the Fermi level belongs to which entry?
number 1